# 1
{"formula": "AcYO3", "functional": "PBE", "state": "relaxed", "total_energy_ev_per_atom": -8.4845, "crystal_system": "monoclinic", "e_form_raw_mev_per_atom": -3395, "cell": [[-0.765, 1.061, -3.883], [3.870, -4.188, -1.906], [-8.775, -2.552, 1.031]], "species": ["O", "O", "O", "O", "O", "O", "Y", "Y", "Ac", "Ac"], "fractional_positions": [[0.750, 0.200, 0.378], [0.250, 0.942, 0.114], [0.750, 0.676, 0.338], [0.250, 0.336, 0.622], [0.750, 0.594, 0.886], [0.250, 0.860, 0.662], [0.250, 0.701, 0.833], [0.750, 0.835, 0.167], [0.250, 0.434, 0.385], [0.750, 0.102, 0.615]]}

=====

# 2
{"formula": "Ac3YO", "functional": "PBE", "state": "relaxed", "total_energy_ev_per_atom": -5.8165, "crystal_system": "cubic", "e_form_raw_mev_per_atom": -1067, "cell": [[5.412, 0.000, 0.000], [0.000, 5.412, 0.000], [0.000, 0.000, 5.412]], "species": ["O", "Ac", "Ac", "Ac", "Y"], "fractional_positions": [[0.000, 0.000, 0.000], [0.000, 0.000, 0.500], [0.000, 0.500, 0.000], [0.500, 0.000, 0.000], [0.500, 0.500, 0.500]]}

=====

# 3
{"formula": "AcYO4", "functional": "PBE", "state": "relaxed", "total_energy_ev_per_atom": -7.9140, "crystal_system": "monoclinic", "e_form_raw_mev_per_atom": -2846, "cell": [[4.078, 0.000, 0.000], [-2.039, 3.405, -0.418], [0.000, -0.067, 6.600]], "species": ["Y", "O", "O", "O", "O", "Ac"], "fractional_positions": [[0.442, 0.883, 0.480], [0.833, 0.666, 0.661], [0.100, 0.201, 0.411], [0.403, 0.806, 0.133], [0.673, 0.345, 0.798], [0.049, 0.098, 0.017]]}

=====

# 4
{"formula": "AcY3O", "functional": "PBE", "state": "relaxed", "total_energy_ev_per_atom": -6.6407, "crystal_system": "cubic", "e_form_raw_mev_per_atom": -949, "cell": [[5.079, 0.000, 0.000], [0.000, 5.079, 0.000], [0.000, 0.000, 5.079]], "species": ["Y", "Y", "Y", "Ac", "O"], "fractional_positions": [[0.500, 0.000, 0.000], [0.000, 0.500, 0.000], [0.000, 0.000, 0.500], [0.500, 0.500, 0.500], [0.000, 0.000, 0.000]]}

=====

# 5
{"formula": "Ac4YZn3O12", "functional": "PBE", "state": "relaxed", "total_energy_ev_per_atom": -6.6710, "crystal_system": "cubic", "e_form_raw_mev_per_atom": -2360, "cell": [[-2.658, 0.420, 6.545], [0.655, -6.799, -1.848], [6.353, 3.113, -0.170]], "species": ["O", "O", "O", "O", "O", "O", "O", "O", "O", "O", "O", "O", "Ac", "Ac", "Ac", "Ac", "Zn", "Zn", "Zn", "Y"], "fractional_positions": [[0.262, 0.000, 0.262], [0.750, 0.250, 0.500], [0.500, 0.750, 0.250], [0.000, 0.738, 0.738], [0.250, 0.500, 0.750], [0.262, 0.262, 0.000], [0.738, 0.738, 0.000], [0.750, 0.500, 0.250], [0.738, 0.000, 0.738], [0.000, 0.262, 0.262], [0.500, 0.250, 0.750], [0.250, 0.750, 0.500], [0.000, 0.500, 0.000], [0.500, 0.000, 0.000], [0.000, 0.000, 0.500], [0.500, 0.500, 0.500], [0.500, 0.000, 0.500], [0.000, 0.500, 0.500], [0.500, 0.500, 0.000], [0.000, 0.000, 0.000]]}

=====

# 6
{"formula": "Ac2YZnO6", "functional": "PBE", "state": "relaxed", "total_energy_ev_per_atom": -7.2999, "crystal_system": "monoclinic", "e_form_raw_mev_per_atom": -2729, "cell": [[-5.216, 1.331, 2.393], [-2.774, -3.314, -4.203], [0.670, -6.803, 4.922]], "species": ["O", "O", "O", "O", "O", "O", "O", "O", "O", "O", "O", "O", "Y", "Y", "Ac", "Ac", "Ac", "Ac", "Zn", "Zn"], "fractional_positions": [[0.698, 0.289, 0.553], [0.098, 0.465, 0.757], [0.902, 0.535, 0.243], [0.598, 0.035, 0.257], [0.714, 0.300, 0.947], [0.786, 0.800, 0.553], [0.802, 0.789, 0.947], [0.402, 0.965, 0.743], [0.302, 0.711, 0.447], [0.198, 0.211, 0.053], [0.286, 0.700, 0.053], [0.214, 0.200, 0.447], [0.000, 0.500, 0.500], [0.500, 0.000, 0.000], [0.514, 0.548, 0.748], [0.486, 0.452, 0.252], [0.986, 0.048, 0.752], [0.014, 0.952, 0.248], [0.500, 0.000, 0.500], [0.000, 0.500, 0.000]]}

=====

# 7
{"formula": "Ac2ZnO3", "functional": "PBE", "state": "relaxed", "total_energy_ev_per_atom": -6.4448, "crystal_system": "orthorhombic", "e_form_raw_mev_per_atom": -2384, "cell": [[-2.391, -2.357, 1.491], [2.037, -3.078, -1.598], [4.117, 2.348, 5.788]], "species": ["Ac", "Ac", "O", "O", "O", "Zn"], "fractional_positions": [[0.359, 0.359, 0.717], [0.641, 0.641, 0.283], [0.821, 0.821, 0.641], [0.000, 0.500, 0.000], [0.179, 0.179, 0.359], [0.000, 0.000, 0.000]]}

=====

# 8
{"formula": "Ac3ZnO", "functional": "PBE", "state": "relaxed", "total_energy_ev_per_atom": -4.7612, "crystal_system": "cubic", "e_form_raw_mev_per_atom": -1050, "cell": [[-2.377, -1.123, -4.565], [3.894, -3.335, -1.208], [-2.633, -3.920, 2.335]], "species": ["Ac", "Ac", "Ac", "Zn", "O"], "fractional_positions": [[0.000, 0.000, 0.500], [0.500, 0.000, 0.000], [0.000, 0.500, 0.000], [0.500, 0.500, 0.500], [0.000, 0.000, 0.000]]}

=====

# 9
{"formula": "Ac3Zn2O8", "functional": "PBE", "state": "relaxed", "total_energy_ev_per_atom": -6.3134, "crystal_system": "trigonal", "e_form_raw_mev_per_atom": -2118, "cell": [[-2.332, -0.227, 5.037], [-2.625, -4.613, 1.641], [4.540, -4.158, 4.978]], "species": ["O", "O", "O", "O", "O", "O", "O", "O", "Zn", "Zn", "Ac", "Ac", "Ac"], "fractional_positions": [[0.202, 0.742, 0.314], [0.742, 0.742, 0.314], [0.258, 0.798, 0.686], [0.742, 0.202, 0.314], [0.315, 0.315, 0.056], [0.798, 0.258, 0.686], [0.685, 0.685, 0.944], [0.258, 0.258, 0.686], [0.599, 0.599, 0.202], [0.401, 0.401, 0.798], [0.000, 0.000, 0.000], [0.208, 0.208, 0.377], [0.792, 0.792, 0.623]]}

=====

# 10
{"formula": "Ac2ZnO", "functional": "PBE", "state": "relaxed", "total_energy_ev_per_atom": -4.7211, "crystal_system": "trigonal", "e_form_raw_mev_per_atom": -1109, "cell": [[-0.954, -1.886, -4.195], [1.449, -4.354, -1.002], [-6.847, -5.092, 1.217]], "species": ["Ac", "Ac", "O", "Zn"], "fractional_positions": [[0.910, 0.910, 0.269], [0.090, 0.090, 0.731], [0.000, 0.000, 0.000], [0.500, 0.500, 0.500]]}

=====

# 11
{"formula": "AcZnO2", "functional": "PBE", "state": "relaxed", "total_energy_ev_per_atom": -5.0529, "crystal_system": "trigonal", "e_form_raw_mev_per_atom": -1228, "cell": [[-2.681, 2.003, 1.092], [-0.490, 0.563, 3.440], [2.756, 6.132, 1.190]], "species": ["Zn", "Ac", "O", "O"], "fractional_positions": [[0.500, 0.500, 0.500], [0.000, 0.000, 0.000], [0.114, 0.114, 0.657], [0.886, 0.886, 0.343]]}

=====

# 12
{"formula": "Ac3ZnO6", "functional": "PBE", "state": "relaxed", "total_energy_ev_per_atom": -7.0796, "crystal_system": "orthorhombic", "e_form_raw_mev_per_atom": -2745, "cell": [[5.862, 0.000, 0.000], [0.000, 7.871, 0.008], [0.000, -1.749, 7.675]], "species": ["Ac", "Ac", "Ac", "Ac", "Ac", "Ac", "O", "O", "O", "O", "O", "O", "O", "O", "O", "O", "O", "O", "Zn", "Zn"], "fractional_positions": [[0.935, 0.608, 0.392], [0.972, 0.695, 0.917], [0.972, 0.083, 0.305], [0.435, 0.392, 0.608], [0.472, 0.305, 0.083], [0.472, 0.917, 0.695], [0.206, 0.352, 0.331], [0.182, 0.415, 0.892], [0.182, 0.108, 0.585], [0.206, 0.669, 0.648], [0.177, 0.786, 0.214], [0.677, 0.214, 0.786], [0.682, 0.585, 0.108], [0.645, 0.959, 0.041], [0.706, 0.331, 0.352], [0.706, 0.648, 0.669], [0.145, 0.041, 0.959], [0.682, 0.892, 0.415], [0.007, 0.192, 0.808], [0.507, 0.808, 0.192]]}

=====

# 13
{"formula": "AcZnO", "functional": "PBE", "state": "relaxed", "total_energy_ev_per_atom": -5.3595, "crystal_system": "monoclinic", "e_form_raw_mev_per_atom": -1913, "cell": [[-0.163, -3.302, -2.854], [-1.429, -2.558, 3.042], [-8.017, 0.663, -0.309]], "species": ["O", "O", "Ac", "Ac", "Zn", "Zn"], "fractional_positions": [[0.750, 0.754, 0.493], [0.250, 0.246, 0.507], [0.250, 0.830, 0.339], [0.750, 0.170, 0.661], [0.750, 0.460, 0.072], [0.250, 0.540, 0.928]]}

=====

# 14
{"formula": "Ac2ZrZnO6", "functional": "PBE", "state": "relaxed", "total_energy_ev_per_atom": -7.7553, "crystal_system": "monoclinic", "e_form_raw_mev_per_atom": -2976, "cell": [[-1.231, -4.116, -3.963], [5.277, -2.522, 0.981], [-3.358, -4.702, 5.980]], "species": ["Ac", "Ac", "Ac", "Ac", "Zr", "Zr", "O", "O", "O", "O", "O", "O", "O", "O", "O", "O", "O", "O", "Zn", "Zn"], "fractional_positions": [[0.491, 0.459, 0.251], [0.509, 0.541, 0.749], [0.991, 0.041, 0.751], [0.009, 0.959, 0.249], [0.500, 0.000, 0.000], [0.000, 0.500, 0.500], [0.794, 0.787, 0.549], [0.706, 0.287, 0.951], [0.294, 0.713, 0.049], [0.088, 0.472, 0.747], [0.412, 0.972, 0.753], [0.212, 0.206, 0.045], [0.588, 0.028, 0.247], [0.712, 0.294, 0.545], [0.788, 0.794, 0.955], [0.912, 0.528, 0.253], [0.288, 0.706, 0.455], [0.206, 0.213, 0.451], [0.000, 0.500, 0.000], [0.500, 0.000, 0.500]]}

=====

# 15
{"formula": "Ac3ZrZn2O9", "functional": "PBE", "state": "relaxed", "total_energy_ev_per_atom": -7.1711, "crystal_system": "trigonal", "e_form_raw_mev_per_atom": -2635, "cell": [[-2.383, 3.890, 3.536], [-2.233, -0.878, -5.249], [-4.304, -5.072, 2.679]], "species": ["Ac", "Ac", "Ac", "O", "O", "O", "O", "O", "O", "O", "O", "O", "Zn", "Zn", "Zr"], "fractional_positions": [[0.000, 0.000, 0.000], [0.333, 0.667, 0.708], [0.667, 0.333, 0.292], [0.671, 0.835, 0.324], [0.329, 0.165, 0.676], [0.835, 0.671, 0.676], [0.500, 0.000, 0.000], [0.165, 0.835, 0.324], [0.835, 0.165, 0.676], [0.000, 0.500, 0.000], [0.500, 0.500, 0.000], [0.165, 0.329, 0.324], [0.667, 0.333, 0.828], [0.333, 0.667, 0.172], [0.000, 0.000, 0.500]]}

=====

# 16
{"formula": "AcZrO2", "functional": "PBE", "state": "relaxed", "total_energy_ev_per_atom": -8.0016, "crystal_system": "trigonal", "e_form_raw_mev_per_atom": -2358, "cell": [[3.522, 0.000, 0.000], [1.761, 3.050, 0.000], [1.761, 1.017, 5.815]], "species": ["O", "O", "Ac", "Zr"], "fractional_positions": [[0.730, 0.730, 0.810], [0.270, 0.270, 0.190], [0.500, 0.500, 0.500], [0.000, 0.000, 0.000]]}

=====

# 17
{"formula": "Ac6ZrO12", "functional": "PBE", "state": "relaxed", "total_energy_ev_per_atom": -8.0239, "crystal_system": "trigonal", "e_form_raw_mev_per_atom": -3145, "cell": [[-3.709, 2.629, -5.466], [2.465, -5.898, -3.111], [-5.373, -2.880, 3.658]], "species": ["O", "O", "O", "O", "O", "O", "O", "O", "O", "O", "O", "O", "Ac", "Ac", "Ac", "Ac", "Ac", "Ac", "Zr"], "fractional_positions": [[0.823, 0.408, 0.555], [0.445, 0.177, 0.592], [0.046, 0.936, 0.704], [0.408, 0.555, 0.823], [0.555, 0.823, 0.408], [0.064, 0.296, 0.954], [0.177, 0.592, 0.445], [0.296, 0.954, 0.064], [0.592, 0.445, 0.177], [0.936, 0.704, 0.046], [0.954, 0.064, 0.296], [0.704, 0.046, 0.936], [0.710, 0.396, 0.862], [0.604, 0.138, 0.290], [0.290, 0.604, 0.138], [0.138, 0.290, 0.604], [0.396, 0.862, 0.710], [0.862, 0.710, 0.396], [0.000, 0.000, 0.000]]}

=====

# 18
{"formula": "Ac4Zr6O19", "functional": "PBE", "state": "relaxed", "total_energy_ev_per_atom": -8.7307, "crystal_system": "cubic", "e_form_raw_mev_per_atom": -3147, "cell": [[7.756, 0.000, -2.742], [-3.878, 6.717, -2.742], [0.000, 0.000, 8.226]], "species": ["O", "O", "O", "O", "O", "O", "O", "O", "O", "O", "O", "O", "O", "O", "O", "O", "O", "O", "O", "Ac", "Ac", "Ac", "Ac", "Zr", "Zr", "Zr", "Zr", "Zr", "Zr"], "fractional_positions": [[0.030, 0.359, 0.761], [0.355, 0.000, 0.355], [0.269, 0.239, 0.598], [0.645, 0.645, 0.000], [0.000, 0.355, 0.355], [0.970, 0.731, 0.329], [0.641, 0.671, 0.402], [0.402, 0.641, 0.671], [0.239, 0.598, 0.269], [0.761, 0.030, 0.359], [0.731, 0.329, 0.970], [0.329, 0.970, 0.731], [0.359, 0.761, 0.030], [0.671, 0.402, 0.641], [0.645, 0.000, 0.645], [0.000, 0.645, 0.645], [0.000, 0.000, 0.000], [0.598, 0.269, 0.239], [0.355, 0.355, 0.000], [0.318, 0.318, 0.318], [0.682, 0.000, 0.000], [0.000, 0.000, 0.682], [0.000, 0.682, 0.000], [0.500, 0.827, 0.327], [0.500, 0.173, 0.673], [0.673, 0.500, 0.173], [0.173, 0.673, 0.500], [0.327, 0.500, 0.827], [0.827, 0.327, 0.500]]}

=====

Number 1: calculated volume 202 Å³/cell. Number 2: calculated volume 158 Å³/cell. Number 3: calculated volume 92 Å³/cell. Number 4: calculated volume 131 Å³/cell. Number 5: calculated volume 273 Å³/cell. Number 6: calculated volume 299 Å³/cell. Number 7: calculated volume 103 Å³/cell. Number 8: calculated volume 146 Å³/cell. Number 9: calculated volume 193 Å³/cell. Number 10: calculated volume 156 Å³/cell. Number 11: calculated volume 70 Å³/cell. Number 12: calculated volume 354 Å³/cell. Number 13: calculated volume 143 Å³/cell. Number 14: calculated volume 288 Å³/cell. Number 15: calculated volume 207 Å³/cell. Number 16: calculated volume 62 Å³/cell. Number 17: calculated volume 346 Å³/cell. Number 18: calculated volume 429 Å³/cell.